Entry 1:
# Tb4Dy2Tl, optimized geometry, DFT PBE-GGA
# * formation enthalpy at 0 K: 1.8 eV per formula unit
# * energy relative to the lowest polymorph listed for this composition: 0.258 eV per atom
data_Tb4Dy2Tl
_chemical_formula_sum 'Tb4 Dy2 Tl1'
_symmetry_space_group_name_H-M 'P 4/m m m'
_symmetry_Int_Tables_number 123
_symmetry_space_group_name_Hall '-P 4 2'
_cell_length_a 8.154
_cell_length_b 8.154
_cell_length_c 3.505
_cell_angle_alpha 90.00
_cell_angle_beta 90.00
_cell_angle_gamma 90.00
loop_
_atom_site_label
_atom_site_fract_x
_atom_site_fract_y
_atom_site_fract_z
Tb1 0.213 0.213 0.000
Dy1 0.000 0.500 0.500
Tl1 0.500 0.500 0.000

***

Entry 2:
# TbDy4Tl5, optimized geometry, DFT PBE-GGA
# * formation enthalpy at 0 K: -3.4 eV per formula unit
data_TbDy4Tl5
_chemical_formula_sum 'Tb1 Dy4 Tl5'
_symmetry_space_group_name_H-M 'P 4/m m m'
_symmetry_Int_Tables_number 123
_symmetry_space_group_name_Hall '-P 4 2'
_cell_length_a 3.761
_cell_length_b 3.761
_cell_length_c 19.360
_cell_angle_alpha 90.00
_cell_angle_beta 90.00
_cell_angle_gamma 90.00
loop_
_atom_site_label
_atom_site_fract_x
_atom_site_fract_y
_atom_site_fract_z
Tb1 0.000 0.000 0.000
Dy1 0.000 0.000 0.201
Dy2 0.000 0.000 0.400
Tl1 0.500 0.500 0.101
Tl2 0.500 0.500 0.300
Tl3 0.500 0.500 0.500

***

Entry 3:
# TbDy8Tl6, optimized geometry, DFT PBE-GGA
# * formation enthalpy at 0 K: -2.0 eV per formula unit
data_TbDy8Tl6
_chemical_formula_sum 'Tb3 Dy24 Tl18'
_symmetry_space_group_name_H-M 'R -3'
_symmetry_Int_Tables_number 148
_symmetry_space_group_name_Hall '-R 3'
_cell_length_a 9.1028
_cell_length_b 9.1028
_cell_length_c 19.5101
_cell_angle_alpha 90.00
_cell_angle_beta 90.00
_cell_angle_gamma 120.00
loop_
_atom_site_label
_atom_site_fract_x
_atom_site_fract_y
_atom_site_fract_z
Tb1 0.0000 0.0000 0.0000
Dy1 0.0000 0.0000 0.3332
Dy2 0.0001 0.3332 0.1093
Tl1 0.0000 0.3341 0.9360

***

Entry 4:
# Tb4Dy15Tl, optimized geometry, DFT PBE-GGA
# * formation enthalpy at 0 K: -0.4 eV per formula unit
data_Tb4Dy15Tl
_chemical_formula_sum 'Tb4 Dy15 Tl1'
_symmetry_space_group_name_H-M 'P 4/m m m'
_symmetry_Int_Tables_number 123
_symmetry_space_group_name_Hall '-P 4 2'
_cell_length_a 4.964
_cell_length_b 4.964
_cell_length_c 25.156
_cell_angle_alpha 90.00
_cell_angle_beta 90.00
_cell_angle_gamma 90.00
loop_
_atom_site_label
_atom_site_fract_x
_atom_site_fract_y
_atom_site_fract_z
Tb1 0.000 0.000 0.101
Tb2 0.000 0.000 0.302
Dy1 0.000 0.500 0.000
Dy2 0.000 0.500 0.201
Dy3 0.000 0.500 0.403
Dy4 0.500 0.500 0.101
Dy5 0.500 0.500 0.304
Dy6 0.500 0.500 0.500
Tl1 0.000 0.000 0.500